Record 1
VASP calculation (PBE-GGA) on a relaxed PmTm2Mg crystal.

```
data_PmTm2Mg
_cell_length_a 4.880
_cell_length_b 4.880
_cell_length_c 4.955
_cell_angle_alpha 90.00
_cell_angle_beta 90.00
_cell_angle_gamma 90.00
_space_group_name_H-M_alt 'P 4/m m m'
_space_group_IT_number 123
_space_group_name_Hall '-P 4 2'
loop_
_atom_site_label
_atom_site_type_symbol
_atom_site_fract_x
_atom_site_fract_y
_atom_site_fract_z
_atom_site_occupancy
Pm1 Pm 0.000 0.000 0.000 1
Tm1 Tm 0.000 0.500 0.500 1
Mg1 Mg 0.500 0.500 0.000 1
```

Calculated values
* theoretical density: 7.14 Mg/m³
* energy relative to the lowest polymorph listed for this composition: 51.7 meV per atom
* energy of formation from the pure elements: 0.025 eV/atom
* VASP energy: -3.7967 eV/atom

Record 2
VASP calculation (PBE-GGA) on a relaxed PmTm2Mg4 crystal.

```
data_PmTm2Mg4
_cell_length_a 9.955
_cell_length_b 11.167
_cell_length_c 3.514
_cell_angle_alpha 90.00
_cell_angle_beta 90.00
_cell_angle_gamma 90.00
_space_group_name_H-M_alt 'C m m m'
_space_group_IT_number 65
_space_group_name_Hall '-C 2 2'
loop_
_atom_site_label
_atom_site_type_symbol
_atom_site_fract_x
_atom_site_fract_y
_atom_site_fract_z
_atom_site_occupancy
Pm1 Pm 0.000 0.000 0.000 1
Tm1 Tm 0.194 0.500 0.500 1
Mg1 Mg 0.000 0.260 0.500 1
Mg2 Mg 0.250 0.250 0.000 1
```

Calculated values
* theoretical density: 4.93 Mg/m³
* energy relative to the lowest polymorph listed for this composition: 0.0 meV per atom
* energy of formation from the pure elements: 0.097 eV/atom
* VASP energy: -2.7703 eV/atom